A plane-wave DFT calculation with GGA-PBEsol was carried out for a geometry-optimized NaAuO2 structure.

Unit cell a=6.6204 b=3.0182 c=6.1397 alpha=90.00 beta=119.02 gamma=90.00
Space group C2/m (No. 12)
Unique sites:
Na1 0.0000 0.0000 0.0000
Au1 0.0000 0.0000 0.5000
O1 0.0904 0.5000 0.7464

Computed properties:
Raw formation energy   -0.7828 eV per atom

=====

A plane-wave DFT calculation with GGA-PBEsol was carried out for a geometry-optimized NaAu2O4 structure.

Unit cell a=6.1019 b=6.1019 c=5.5120 alpha=90.00 beta=90.00 gamma=90.00
Space group P4_2/mmc (No. 131)
Unique sites:
Na1 0.0000 0.5000 0.0000
Au1 0.0000 0.2305 0.5000
O1 0.2333 0.2333 0.2500

Computed properties:
Raw formation energy   -0.3546 eV per atom

=====

A plane-wave DFT calculation with GGA-PBEsol was carried out for a geometry-optimized NaPAu structure.

Unit cell a=8.9897 b=5.6352 c=5.8806 alpha=90.00 beta=123.63 gamma=90.00
Space group C2/m (No. 12)
Unique sites:
Na1 0.1230 0.0000 0.3630
P1 0.0052 0.5000 0.6952
Au1 0.2500 0.2500 0.0000

Computed properties:
Formation energy   -0.312 eV per atom

=====

A plane-wave DFT calculation with GGA-PBEsol was carried out for a geometry-optimized NaPb3Au structure.

Unit cell a=5.5394 b=5.5394 c=5.5394 alpha=90.00 beta=90.00 gamma=90.00
Space group Pm-3m (No. 221)
Unique sites:
Na1 0.0000 0.0000 0.0000
Pb1 0.0000 0.5000 0.5000
Au1 0.5000 0.5000 0.5000

Computed properties:
Formation energy   0.214 eV per atom

=====

A plane-wave DFT calculation with GGA-PBEsol was carried out for a geometry-optimized NaPd2Au2 structure.

Unit cell a=7.9953 b=7.9953 c=2.7679 alpha=90.00 beta=90.00 gamma=90.00
Space group P4/mbm (No. 127)
Unique sites:
Na1 0.0000 0.0000 0.0000
Pd1 0.1247 0.3753 0.5000
Au1 0.1710 0.6710 0.0000

Computed properties:
Formation energy   -0.106 eV per atom

=====

A plane-wave DFT calculation with GGA-PBEsol was carried out for a geometry-optimized Na3PdAu structure.

Unit cell a=5.3120 b=5.3120 c=5.3120 alpha=90.00 beta=90.00 gamma=90.00
Space group Pm-3m (No. 221)
Unique sites:
Na1 0.0000 0.0000 0.5000
Pd1 0.5000 0.5000 0.5000
Au1 0.0000 0.0000 0.0000

Computed properties:
Formation energy   0.391 eV per atom

=====

A plane-wave DFT calculation with GGA-PBEsol was carried out for a geometry-optimized Na2PdAu2 structure.

Unit cell a=3.7105 b=3.7105 c=13.8630 alpha=90.00 beta=90.00 gamma=90.00
Space group I4/mmm (No. 139)
Unique sites:
Na1 0.0000 0.5000 0.2500
Pd1 0.0000 0.0000 0.0000
Au1 0.0000 0.0000 0.4059

Computed properties:
Formation energy   0.274 eV per atom

=====

A plane-wave DFT calculation with GGA-PBEsol was carried out for a geometry-optimized NaPrAu2 structure.

Unit cell a=7.1134 b=7.1134 c=7.1134 alpha=90.00 beta=90.00 gamma=90.00
Space group Fm-3m (No. 225)
Unique sites:
Na1 0.0000 0.0000 0.0000
Pr1 0.0000 0.0000 0.5000
Au1 0.2500 0.2500 0.2500

Computed properties:
Formation energy   -0.527 eV per atom

=====

A plane-wave DFT calculation with GGA-PBEsol was carried out for a geometry-optimized Na2PtAu structure.

Unit cell a=7.7911 b=7.7911 c=5.3039 alpha=90.00 beta=90.00 gamma=90.00
Space group I-42d (No. 122)
Unique sites:
Na1 0.2462 0.7500 0.1250
Pt1 0.0000 0.0000 0.0000
Au1 0.0000 0.0000 0.5000

Computed properties:
Formation energy   0.107 eV per atom

=====

A plane-wave DFT calculation with GGA-PBEsol was carried out for a geometry-optimized Rb2NaAu2 structure.

Unit cell a=8.0834 b=8.0834 c=5.0656 alpha=90.00 beta=90.00 gamma=90.00
Space group P4/mbm (No. 127)
Unique sites:
Rb1 0.1692 0.3308 0.0000
Na1 0.0000 0.0000 0.5000
Au1 0.1211 0.6211 0.5000

Computed properties:
Formation energy   -0.106 eV per atom

=====

A plane-wave DFT calculation with GGA-PBEsol was carried out for a geometry-optimized RbNa3Au structure.

Unit cell a=5.7633 b=5.7633 c=5.7633 alpha=90.00 beta=90.00 gamma=90.00
Space group Pm-3m (No. 221)
Unique sites:
Rb1 0.0000 0.0000 0.0000
Na1 0.0000 0.5000 0.5000
Au1 0.5000 0.5000 0.5000

Computed properties:
Formation energy   -0.049 eV per atom

=====

A plane-wave DFT calculation with GGA-PBEsol was carried out for a geometry-optimized Rb3NaAu structure.

Unit cell a=6.6491 b=6.6491 c=6.6491 alpha=90.00 beta=90.00 gamma=90.00
Space group Pm-3m (No. 221)
Unique sites:
Rb1 0.0000 0.0000 0.5000
Na1 0.5000 0.5000 0.5000
Au1 0.0000 0.0000 0.0000

Computed properties:
Formation energy   -0.015 eV per atom